Material: MnCd2TeO6
Method: DFT, PBE+U
State: relaxed

Structure (CIF):
```
data_MnCd2TeO6
_chemical_formula_sum 'Mn2 Cd4 Te2 O12'
_cell_length_a 6.469
_cell_length_b 6.500
_cell_length_c 6.516
_cell_angle_alpha 90.02
_cell_angle_beta 90.86
_cell_angle_gamma 90.13
_space_group_name_H-M_alt 'P 1'
_space_group_IT_number 1
_space_group_name_Hall 'P 1'
loop_
_atom_site_label
_atom_site_type_symbol
_atom_site_fract_x
_atom_site_fract_y
_atom_site_fract_z
Mn1 Mn 0.000 0.000 0.000
Mn2 Mn 0.185 0.305 0.519
Cd1 Cd 0.309 0.802 0.611
Cd2 Cd 0.493 0.103 0.127
Cd3 Cd 0.696 0.488 0.816
Cd4 Cd 0.795 0.618 0.312
Te1 Te 0.240 0.548 0.062
Te2 Te 0.752 0.058 0.564
O1 O 0.043 0.018 0.649
O2 O 0.168 0.261 0.122
O3 O 0.183 0.598 0.354
O4 O 0.301 0.485 0.773
O5 O 0.302 0.838 0.002
O6 O 0.461 0.114 0.490
O7 O 0.530 0.478 0.124
O8 O 0.670 0.769 0.605
O9 O 0.714 0.123 0.855
O10 O 0.803 0.984 0.277
O11 O 0.838 0.345 0.525
O12 O 0.954 0.636 0.001
```

## Properties
Total magnetic moment in Bohr magnetons per cell: 10.00
Crystal system: triclinic
Final energy in eV/cell: -109.32